Density functional theory data (PBE) for an optimized crystal structure of Tb2Dy15Sc2.

Calculated values
- symmetry = R-3m
- E_form (eV per formula unit) = 5.51
- E_tot (eV per atom) = -4.497

Cell: 8.6281 8.6281 8.6281 Å, 79.65 79.65 79.65°
With the nearest neighbours (Å) after each atom.
Element x y z (fractional)
Tb1 0.1801 0.1801 0.1801  15 Dy 3.92-4.16, 1 Sc 3.99
Tb2 0.8199 0.8199 0.8199  15 Dy 3.92-4.16, 1 Sc 3.99
Dy1 0.0000 0.5000 0.5000  8 Dy 3.28-3.35, 2 Sc 3.45
Dy2 0.1316 0.1316 0.6464  6 Dy 3.27-3.29
Dy3 0.1316 0.6464 0.1316  6 Dy 3.27-3.29
Dy4 0.2057 0.5000 0.7943  6 Dy 3.25-3.35, 2 Sc 3.62
Dy5 0.2057 0.7943 0.5000  6 Dy 3.25-3.35, 2 Sc 3.62
Dy6 0.3536 0.8684 0.8684  6 Dy 3.27-3.29
Dy7 0.5000 0.0000 0.5000  8 Dy 3.28-3.35, 2 Sc 3.45
Dy8 0.5000 0.2057 0.7943  6 Dy 3.25-3.35, 2 Sc 3.62
Dy9 0.5000 0.5000 0.0000  8 Dy 3.28-3.35, 2 Sc 3.45
Dy10 0.5000 0.7943 0.2057  6 Dy 3.25-3.35, 2 Sc 3.62
Dy11 0.6464 0.1316 0.1316  6 Dy 3.27-3.29
Dy12 0.7943 0.2057 0.5000  6 Dy 3.25-3.35, 2 Sc 3.62
Dy13 0.7943 0.5000 0.2057  6 Dy 3.25-3.35, 2 Sc 3.62
Dy14 0.8684 0.3536 0.8684  6 Dy 3.27-3.29
Dy15 0.8684 0.8684 0.3536  6 Dy 3.27-3.29
Sc1 0.4092 0.4092 0.4092  1 Sc 3.16, 3 Dy 3.45
Sc2 0.5908 0.5908 0.5908  1 Sc 3.16, 3 Dy 3.45

=====

Density functional theory data (PBE) for an optimized crystal structure of PrTh2Zn4.

Calculated values
- symmetry = I4/mmm
- E_form (eV per formula unit) = -0.16
- E_tot (eV per atom) = -3.554

Cell: 7.9773 7.9773 7.9773 Å, 142.84 142.84 53.57°
With the nearest neighbours (Å) after each atom.
Element x y z (fractional)
Pr1 0.0000 0.0000 0.0000  8 Zn 3.03
Th1 0.2617 0.2617 0.0000  8 Zn 3.08-3.28
Th2 0.7383 0.7383 0.0000  8 Zn 3.08-3.28
Zn1 0.1163 0.6163 0.5000  2 Pr 3.03, 4 Th 3.08-3.28, 1 Zn 3.31
Zn2 0.3837 0.8837 0.5000  2 Pr 3.03, 4 Th 3.08-3.28, 1 Zn 3.31
Zn3 0.6163 0.1163 0.5000  2 Pr 3.03, 4 Th 3.08-3.28, 1 Zn 3.31
Zn4 0.8837 0.3837 0.5000  2 Pr 3.03, 4 Th 3.08-3.28, 1 Zn 3.31

=====

Density functional theory data (PBE) for an optimized crystal structure of Ni2Pt3.

Calculated values
- symmetry = R-3c
- E_form (eV per formula unit) = 0.60
- E_tot (eV per atom) = -5.818

Cell: 5.2161 5.2161 5.2161 Å, 89.70 89.70 89.70°
With the nearest neighbours (Å) after each atom.
Element x y z (fractional)
Ni1 0.1252 0.1252 0.1252  2 Ni 2.27, 3 Pt 2.53
Ni2 0.3748 0.3748 0.3748  2 Ni 2.27, 3 Pt 2.53
Ni3 0.6252 0.6252 0.6252  2 Ni 2.27, 3 Pt 2.53
Ni4 0.8748 0.8748 0.8748  2 Ni 2.27, 3 Pt 2.53
Pt1 0.0714 0.7500 0.4286  4 Ni 2.53-2.62, 2 Pt 2.81
Pt2 0.2500 0.5714 0.9286  4 Ni 2.53-2.62, 2 Pt 2.81
Pt3 0.4286 0.0714 0.7500  4 Ni 2.53-2.62, 2 Pt 2.81
Pt4 0.5714 0.9286 0.2500  4 Ni 2.53-2.62, 2 Pt 2.81
Pt5 0.7500 0.4286 0.0714  4 Ni 2.53-2.62, 2 Pt 2.81
Pt6 0.9286 0.2500 0.5714  4 Ni 2.53-2.62, 2 Pt 2.81

=====

Density functional theory data (PBE) for an optimized crystal structure of In2FeRh.

Calculated values
- symmetry = Fm-3m
- E_form (eV per formula unit) = 0.10
- E_tot (eV per atom) = -5.299

Cell: 4.5070 4.5070 4.5070 Å, 60.00 60.00 60.00°
With the nearest neighbours (Å) after each atom.
Element x y z (fractional)
In1 0.2500 0.2500 0.2500  4 Rh 2.76, 4 Fe 2.76
In2 0.7500 0.7500 0.7500  4 Rh 2.76, 4 Fe 2.76
Fe1 0.0000 0.0000 0.0000  8 In 2.76
Rh1 0.5000 0.5000 0.5000  8 In 2.76

=====

Density functional theory data (PBE) for an optimized crystal structure of PrDyHo6Er2.

Calculated values
- symmetry = C2/c
- E_form (eV per formula unit) = 1.22
- E_tot (eV per atom) = -4.475

Cell: 8.7531 8.7531 9.4465 Å, 93.25 93.25 117.39°
With the nearest neighbours (Å) after each atom.
Element x y z (fractional)
Pr1 0.0285 0.9715 0.7500  4 Er 3.37-3.45, 4 Ho 3.55-3.69
Pr2 0.9715 0.0285 0.2500  4 Er 3.37-3.45, 4 Ho 3.55-3.69
Dy1 0.4101 0.5899 0.2500  6 Ho 3.41-3.50, 2 Er 3.51
Dy2 0.5899 0.4101 0.7500  6 Ho 3.41-3.50, 2 Er 3.51
Ho1 0.0164 0.5626 0.6817  3 Ho 3.19-3.55, 2 Er 3.39-3.53, 1 Dy 3.45, 1 Pr 3.55
Ho2 0.1221 0.7525 0.0574  7 Ho 3.38-3.71, 1 Er 3.49, 1 Pr 3.69
Ho3 0.2475 0.8779 0.4426  7 Ho 3.38-3.71, 1 Er 3.49, 1 Pr 3.69
Ho4 0.2916 0.5125 0.8833  4 Ho 3.19-3.47, 3 Er 3.26-3.42, 2 Dy 3.41-3.50
Ho5 0.4374 0.9836 0.8183  3 Ho 3.19-3.55, 2 Er 3.39-3.53, 1 Dy 3.45, 1 Pr 3.55
Ho6 0.4875 0.7084 0.6167  4 Ho 3.19-3.47, 3 Er 3.26-3.42, 2 Dy 3.41-3.50
Ho7 0.5125 0.2916 0.3833  4 Ho 3.19-3.47, 3 Er 3.26-3.42, 2 Dy 3.41-3.50
Ho8 0.5626 0.0164 0.1817  3 Ho 3.19-3.55, 2 Er 3.39-3.53, 1 Dy 3.45, 1 Pr 3.55
Ho9 0.7084 0.4875 0.1167  4 Ho 3.19-3.47, 3 Er 3.26-3.42, 2 Dy 3.41-3.50
Ho10 0.7525 0.1221 0.5574  7 Ho 3.38-3.71, 1 Er 3.49, 1 Pr 3.69
Ho11 0.8779 0.2475 0.9426  7 Ho 3.38-3.71, 1 Er 3.49, 1 Pr 3.69
Ho12 0.9836 0.4374 0.3183  3 Ho 3.19-3.55, 2 Er 3.39-3.53, 1 Dy 3.45, 1 Pr 3.55
Er1 0.1997 0.3049 0.5482  6 Ho 3.26-3.53, 2 Pr 3.37-3.45, 1 Dy 3.51
Er2 0.3049 0.1997 0.0482  6 Ho 3.26-3.53, 2 Pr 3.37-3.45, 1 Dy 3.51
Er3 0.6951 0.8003 0.9518  6 Ho 3.26-3.53, 2 Pr 3.37-3.45, 1 Dy 3.51
Er4 0.8003 0.6951 0.4518  6 Ho 3.26-3.53, 2 Pr 3.37-3.45, 1 Dy 3.51

=====

Density functional theory data (PBE) for an optimized crystal structure of Ho2AlI.

Calculated values
- symmetry = R-3m
- uncorrected formation energy (eV per formula unit) = 0.21
- E_tot (eV per atom) = -3.561

Cell: 11.2027 11.2027 11.2027 Å, 18.46 18.46 18.46°
With the nearest neighbours (Å) after each atom.
Element x y z (fractional)
Ho1 0.0911 0.0911 0.0911  1 Al 3.01, 3 I 3.25
Ho2 0.9089 0.9089 0.9089  1 Al 3.01, 3 I 3.25
Al1 0.0000 0.0000 0.0000  2 Ho 3.01
I1 0.5000 0.5000 0.5000  6 Ho 3.25, 6 I 3.59